Entry from Alexandria: an optimized crystal structure of VOs2O6 (PBE+U).

Unit cell a=4.542 b=8.552 c=8.552 alpha=120.00 beta=90.00 gamma=90.00
Fractional coordinates of all 27 atoms:
O1 0.743 0.227 0.786
O2 0.751 0.553 0.445
O3 0.743 0.214 0.440
O4 0.243 0.774 0.889
O5 0.249 0.108 0.555
O6 0.743 0.560 0.773
O7 0.757 0.889 0.774
O8 0.257 0.773 0.560
O9 0.257 0.440 0.214
O10 0.757 0.226 0.115
O11 0.757 0.885 0.111
O12 0.257 0.786 0.227
O13 0.243 0.115 0.226
O14 0.243 0.111 0.885
O15 0.249 0.445 0.553
O16 0.751 0.892 0.447
O17 0.751 0.555 0.108
O18 0.249 0.447 0.892
V1 0.000 0.000 0.000
V2 0.496 0.333 0.667
V3 0.504 0.667 0.333
Os1 0.500 0.000 0.670
Os2 0.500 0.330 0.330
Os3 0.000 0.663 0.663
Os4 0.000 0.000 0.337
Os5 0.000 0.337 0.000
Os6 0.500 0.670 0.000

Values from the calculation:
The raw total energy is -211.9 eV per cell. The value obtained for the density of states at the Fermi level is 16.12 states/eV/cell.